(1)
This record from Alexandria via LeMat-Bulk describes Li3Ac2MgAg12 after structural relaxation. The functional is PBE-GGA.

Properties
ΔH_f (0 K) = -6 meV per atom

a = 11.0653 Å, b = 11.0653 Å, c = 11.0653 Å
α = 35.42°, β = 35.42°, γ = 35.42°
Closest atoms and distances in Å follow each position.
Atoms (fractional coordinates):
Li (0.5000, 0.0000, 0.0000)  4 Ag 2.52
Li (0.0000, 0.5000, 0.0000)  4 Ag 2.52
Li (0.0000, 0.0000, 0.5000)  4 Ag 2.52
Ac (0.6397, 0.6397, 0.6397)  12 Ag 3.41-3.56
Ac (0.3603, 0.3603, 0.3603)  12 Ag 3.41-3.56
Mg (0.0000, 0.0000, 0.0000)  6 Ag 2.82
Ag (0.4059, 0.4059, 0.8159)  2 Li 2.52, 2 Ag 2.76
Ag (0.8933, 0.8933, 0.4064)  2 Ag 2.82, 1 Mg 2.82
Ag (0.4064, 0.8933, 0.8933)  2 Ag 2.82, 1 Mg 2.82
Ag (0.8159, 0.4059, 0.4059)  2 Li 2.52, 2 Ag 2.76
Ag (0.8933, 0.4064, 0.8933)  2 Ag 2.82, 1 Mg 2.82
Ag (0.4059, 0.8159, 0.4059)  2 Li 2.52, 2 Ag 2.76
Ag (0.5941, 0.5941, 0.1841)  2 Li 2.52, 2 Ag 2.76
Ag (0.1067, 0.1067, 0.5936)  2 Ag 2.82, 1 Mg 2.82
Ag (0.5936, 0.1067, 0.1067)  2 Ag 2.82, 1 Mg 2.82
Ag (0.1841, 0.5941, 0.5941)  2 Li 2.52, 2 Ag 2.76
Ag (0.1067, 0.5936, 0.1067)  2 Ag 2.82, 1 Mg 2.82
Ag (0.5941, 0.1841, 0.5941)  2 Li 2.52, 2 Ag 2.76

(2)
This record from Alexandria via LeMat-Bulk describes RbPaAlS4 after structural relaxation. The functional is PBE-GGA.

Properties
Uncorrected energy = -5.563 eV/atom

a = 7.4662 Å, b = 8.1196 Å, c = 8.7421 Å
α = 122.57°, β = 90.00°, γ = 117.37°
Closest atoms and distances in Å follow each position.
Atoms (fractional coordinates):
Rb (0.8309, 0.6618, 0.0809)  4 S 2.99-3.01
Rb (0.1691, 0.3382, 0.9191)  4 S 2.99-3.01
Pa (0.5000, 0.0000, 0.5000)  6 S 2.76-2.80
Pa (0.5000, 0.0000, 0.0000)  6 S 2.76-2.80
Al (0.5000, 0.5000, 0.5000)  6 S 2.45-2.62
Al (0.0000, 0.5000, 0.5000)  6 S 2.45-2.62
S (0.7380, 0.4761, 0.6686)  2 Al 2.45
S (0.2985, 0.0449, 0.2725)  1 Al 2.62, 2 Pa 2.76
S (0.7465, 0.0449, 0.2725)  1 Al 2.62, 2 Pa 2.76
S (0.7380, 0.4761, 0.3075)  2 Al 2.45
S (0.2620, 0.5239, 0.6925)  2 Al 2.45
S (0.7015, 0.9551, 0.7275)  1 Al 2.62, 2 Pa 2.76
S (0.2535, 0.9551, 0.7275)  1 Al 2.62, 2 Pa 2.76
S (0.2620, 0.5239, 0.3314)  2 Al 2.45

(3)
This record from Alexandria via LeMat-Bulk describes Rb2U3S8Cl after structural relaxation. The functional is PBE-GGA.

Properties
Uncorrected energy = -6.288 eV/atom

a = 7.9554 Å, b = 7.9554 Å, c = 9.5972 Å
α = 65.51°, β = 65.51°, γ = 60.00°
Closest atoms and distances in Å follow each position.
Atoms (fractional coordinates):
Rb (0.1429, 0.1429, 0.5714)  4 S 3.33-3.43
Rb (0.5020, 0.5020, 0.4940)  6 S 3.51-3.52
U (0.5029, 0.9975, 0.9968)  6 S 2.58-2.72
U (0.9975, 0.5029, 0.9968)  6 S 2.58-2.72
U (0.5029, 0.5029, 0.9968)  6 S 2.58-2.72
S (0.2787, 0.2787, 0.1640)  3 U 2.72
S (0.7216, 0.7216, 0.8351)  3 U 2.65, 1 Cl 2.85
S (0.2384, 0.2384, 0.8314)  2 U 2.61
S (0.6918, 0.2384, 0.8314)  2 U 2.61
S (0.2384, 0.6918, 0.8314)  2 U 2.61
S (0.7655, 0.3102, 0.1587)  2 U 2.58
S (0.3102, 0.7655, 0.1587)  2 U 2.58
S (0.7655, 0.7655, 0.1587)  2 U 2.58
Cl (0.8344, 0.8344, 0.4969)  1 S 2.85

(4)
This record from Alexandria via LeMat-Bulk describes Ho2TlRu after structural relaxation. The functional is PBE-GGA.

Properties
ΔH_f (0 K) = -265 meV per atom
Polymorph energy (0 for the lowest one) = 0 meV/atom

a = 5.0591 Å, b = 5.0591 Å, c = 5.0591 Å
α = 60.00°, β = 60.00°, γ = 60.00°
Closest atoms and distances in Å follow each position.
Atoms (fractional coordinates):
Ru (0.5000, 0.5000, 0.5000)  8 Ho 3.10
Tl (0.0000, 0.0000, 0.0000)  8 Ho 3.10
Ho (0.2500, 0.2500, 0.2500)  4 Tl 3.10, 4 Ru 3.10
Ho (0.7500, 0.7500, 0.7500)  4 Tl 3.10, 4 Ru 3.10